1.
An optimized crystal structure of Rb2TlSn2. Source: Alexandria via LeMat-Bulk, functional PBE.

Cell: 10.6320 10.6320 3.5892 Å, 90.00 90.00 90.00°
With the nearest neighbours (Å) after each atom.
Positions (direct):
1 Sn 0.4051 0.9051 0.0000  1 Sn 2.85
2 Sn 0.5949 0.0949 0.0000  1 Sn 2.85
3 Sn 0.0949 0.4051 0.0000  1 Sn 2.85
4 Sn 0.9051 0.5949 0.0000  1 Sn 2.85
5 Rb 0.1997 0.6997 0.5000  6 Sn 3.57-3.78, 2 Rb 3.59
6 Rb 0.8003 0.3003 0.5000  6 Sn 3.57-3.78, 2 Rb 3.59
7 Rb 0.6997 0.8003 0.5000  6 Sn 3.57-3.78, 2 Rb 3.59
8 Rb 0.3003 0.1997 0.5000  6 Sn 3.57-3.78, 2 Rb 3.59
9 Tl 0.0000 0.0000 0.0000  2 Tl 3.59
10 Tl 0.5000 0.5000 0.0000  2 Tl 3.59

Values from the calculation:
Polymorph energy (0 for the lowest one) ... 196 meV/atom
DFT formation energy ... 0.05 eV/atom
Magnetic moment ... 0.00 μB per cell
Raw total energy ... -24.2 eV for the cell shown

2.
An optimized crystal structure of RbTlSn. Source: Alexandria via LeMat-Bulk, functional PBE.

Cell: 7.8667 4.4916 8.2633 Å, 105.76 61.60 89.99°
With the nearest neighbours (Å) after each atom.
Positions (direct):
1 Sn 0.8947 0.1060 0.2121  1 Sn 2.93, 4 Tl 3.22
2 Sn 0.1053 0.8940 0.7879  1 Sn 2.93, 4 Tl 3.22
3 Rb 0.3263 0.1737 0.3477  4 Sn 3.78-4.05, 4 Tl 3.92-3.93
4 Rb 0.6737 0.8263 0.6523  4 Sn 3.78-4.05, 4 Tl 3.92-3.93
5 Tl 0.2272 0.4994 0.9991  4 Sn 3.22, 1 Tl 3.57
6 Tl 0.7728 0.5006 0.0009  4 Sn 3.22, 1 Tl 3.57

Values from the calculation:
DFT formation energy ... -0.16 eV/atom
Magnetic moment ... 0.00 μB per cell
Raw total energy ... -15.6 eV for the cell shown

3.
An optimized crystal structure of Rb3Tl4Sn2. Source: Alexandria via LeMat-Bulk, functional PBE.

Cell: 5.1742 7.6226 10.5676 Å, 67.65 75.97 70.12°
With the nearest neighbours (Å) after each atom.
Positions (direct):
1 Rb 0.6215 0.1246 0.6296  4 Tl 3.77-4.20, 3 Sn 3.78-4.11
2 Rb 0.3785 0.8754 0.3704  4 Tl 3.77-4.20, 3 Sn 3.78-4.11
3 Rb 0.0000 0.0000 0.0000  4 Tl 3.60, 2 Sn 4.02
4 Sn 0.2909 0.6561 0.7593  5 Tl 3.11-3.29
5 Sn 0.7091 0.3439 0.2407  5 Tl 3.11-3.29
6 Tl 0.0819 0.5033 0.3365  2 Sn 3.11, 1 Tl 3.34
7 Tl 0.9181 0.4967 0.6635  2 Sn 3.11, 1 Tl 3.34
8 Tl 0.6847 0.6791 0.9517  3 Sn 3.15-3.29
9 Tl 0.3153 0.3209 0.0483  3 Sn 3.15-3.29

Values from the calculation:
DFT formation energy ... -0.11 eV/atom
Magnetic moment ... 0.00 μB per cell
Raw total energy ... -21.4 eV for the cell shown

4.
An optimized crystal structure of RbTlSn. Source: Alexandria via LeMat-Bulk, functional PBE.

Cell: 5.3853 8.7747 6.8919 Å, 50.46 67.00 90.00°
With the nearest neighbours (Å) after each atom.
Positions (direct):
1 Tl 0.0739 0.9151 0.3522  2 Sn 3.11-3.15, 2 Tl 3.13
2 Tl 0.5739 0.7327 0.3522  2 Sn 3.11-3.15, 2 Tl 3.13
3 Rb 0.9040 0.3297 0.6920  6 Sn 3.72-4.12, 6 Tl 3.72-4.12, 2 Rb 4.09
4 Rb 0.4040 0.9783 0.6920  6 Sn 3.72-4.12, 6 Tl 3.72-4.12, 2 Rb 4.09
5 Sn 0.2343 0.3926 0.0314  2 Tl 3.11-3.15, 2 Sn 3.14
6 Sn 0.7343 0.5760 0.0314  2 Tl 3.11-3.15, 2 Sn 3.14

Values from the calculation:
DFT formation energy ... -0.15 eV/atom
Magnetic moment ... 0.00 μB per cell
Raw total energy ... -15.5 eV for the cell shown

5.
An optimized crystal structure of RbTl2Sn. Source: Alexandria via LeMat-Bulk, functional PBE.

Cell: 5.7373 5.7373 5.7373 Å, 60.00 60.00 60.00°
With the nearest neighbours (Å) after each atom.
Positions (direct):
1 Tl 0.2500 0.2500 0.2500  4 Sn 3.51, 4 Rb 3.51
2 Tl 0.7500 0.7500 0.7500  4 Sn 3.51, 4 Rb 3.51
3 Rb 0.0000 0.0000 0.0000  8 Tl 3.51
4 Sn 0.5000 0.5000 0.5000  8 Tl 3.51

Values from the calculation:
Polymorph energy (0 for the lowest one) ... 53 meV/atom
DFT formation energy ... -0.05 eV/atom
Magnetic moment ... 0.00 μB per cell
Raw total energy ... -9.9 eV for the cell shown

6.
An optimized crystal structure of RbTlSn. Source: Alexandria via LeMat-Bulk, functional PBE.

Cell: 5.1141 5.1141 8.8615 Å, 90.00 90.00 90.00°
With the nearest neighbours (Å) after each atom.
Positions (direct):
1 Tl 0.0000 0.0000 0.5000  4 Sn 3.15
2 Tl 0.5000 0.5000 0.5000  4 Sn 3.15
3 Rb 0.0000 0.5000 0.8375  5 Sn 3.79-4.03, 4 Tl 3.93
4 Rb 0.5000 0.0000 0.1625  5 Sn 3.79-4.03, 4 Tl 3.93
5 Sn 0.0000 0.5000 0.2923  4 Tl 3.15
6 Sn 0.5000 0.0000 0.7077  4 Tl 3.15

Values from the calculation:
DFT formation energy ... -0.15 eV/atom
Magnetic moment ... 0.00 μB per cell
Raw total energy ... -15.6 eV for the cell shown